KRePb: optimized geometry, PBE-GGA.

Calculated values
Electronic total energy = -4.4757 eV/atom
DOS at the Fermi energy = 1.3547 states/eV per atom
Symmetry = No. 187
Distance to the lowest polymorph of the same formula = 218.2 meV/atom

The structure in extended XYZ format:
```
3
Lattice="5.369 0.000 0.000 -2.684 4.649 0.000 0.000 0.000 2.893" Properties=species:S:1:pos:R:3 pbc="T T T"
K 0.000 0.000 2.891
Pb 2.684 1.550 1.447
Re 0.000 3.100 1.447
```